No. 1
{"formula": "Rb2NaMnI", "functional": "PBE-GGA", "state": "relaxed", "crystal_system": "tetragonal", "e_form_raw_ev_per_atom": 0.307, "energy_ev_per_cell": -12.4, "m_tot_mub_per_cell": 4.79, "rho_g_cm3": 2.00, "lattice": [[-4.646, -1.612, -5.466], [2.273, -5.306, -0.367], [-4.913, -2.442, 4.895]], "species": ["Rb", "Rb", "I", "Mn", "Na"], "frac_coords": [[0.000, 0.000, 0.500], [0.500, 0.000, 0.000], [0.000, 0.500, 0.000], [0.500, 0.500, 0.500], [0.000, 0.000, 0.000]]}

No. 2
{"formula": "RbNaMnI4", "functional": "PBE-GGA", "state": "relaxed", "crystal_system": "monoclinic", "e_form_raw_ev_per_atom": -0.973, "energy_ev_per_cell": -48.9, "m_tot_mub_per_cell": 10.00, "rho_g_cm3": 3.67, "lattice": [[-5.523, -4.637, 2.761], [-1.752, -2.524, -7.744], [8.378, -5.226, -0.192]], "species": ["I", "I", "I", "I", "I", "I", "I", "I", "Mn", "Mn", "Rb", "Rb", "Na", "Na"], "frac_coords": [[0.455, 0.750, 0.584], [0.545, 0.250, 0.416], [0.008, 0.999, 0.723], [0.584, 0.250, 0.866], [0.992, 0.001, 0.277], [0.992, 0.499, 0.277], [0.416, 0.750, 0.134], [0.008, 0.501, 0.723], [0.774, 0.250, 0.678], [0.226, 0.750, 0.322], [0.769, 0.750, 0.943], [0.231, 0.250, 0.057], [0.771, 0.750, 0.437], [0.229, 0.250, 0.563]]}

No. 3
{"formula": "Rb2NaMnI6", "functional": "PBE-GGA", "state": "relaxed", "crystal_system": "monoclinic", "e_form_raw_ev_per_atom": -0.955, "energy_ev_per_cell": -62.5, "m_tot_mub_per_cell": 7.96, "rho_g_cm3": 4.01, "lattice": [[-2.676, 7.569, -0.292], [-4.367, -1.251, 7.591], [9.407, 3.754, 6.031]], "species": ["I", "I", "I", "I", "I", "I", "I", "I", "I", "I", "I", "I", "Rb", "Rb", "Rb", "Rb", "Na", "Na", "Mn", "Mn"], "frac_coords": [[0.196, 0.204, 0.032], [0.073, 0.502, 0.775], [0.573, 0.998, 0.275], [0.927, 0.498, 0.225], [0.304, 0.704, 0.468], [0.719, 0.335, 0.964], [0.427, 0.002, 0.725], [0.696, 0.296, 0.532], [0.781, 0.835, 0.536], [0.804, 0.796, 0.968], [0.281, 0.665, 0.036], [0.219, 0.165, 0.464], [0.966, 0.084, 0.758], [0.034, 0.916, 0.242], [0.534, 0.584, 0.742], [0.466, 0.416, 0.258], [0.000, 0.500, 0.500], [0.500, 0.000, 0.000], [0.500, 0.000, 0.500], [0.000, 0.500, 0.000]]}

No. 4
{"formula": "Rb3Na3MnI8", "functional": "PBE-GGA", "state": "relaxed", "crystal_system": "monoclinic", "e_form_raw_ev_per_atom": -1.166, "energy_ev_per_cell": -45.9, "m_tot_mub_per_cell": 5.00, "rho_g_cm3": 3.52, "lattice": [[-4.010, 6.281, 5.856], [-5.441, -5.662, -5.322], [4.938, -4.091, 7.769]], "species": ["Na", "Na", "Na", "I", "I", "I", "I", "I", "I", "I", "I", "Mn", "Rb", "Rb", "Rb"], "frac_coords": [[0.500, 0.500, 0.500], [0.000, 0.500, 0.500], [0.500, 0.000, 0.500], [0.262, 0.525, 0.288], [0.236, 0.020, 0.305], [0.216, 0.980, 0.695], [0.216, 0.431, 0.695], [0.784, 0.020, 0.305], [0.738, 0.475, 0.712], [0.764, 0.980, 0.695], [0.784, 0.569, 0.305], [0.000, 0.000, 0.500], [0.000, 0.500, 0.000], [0.500, 0.500, 0.000], [0.000, 0.000, 0.000]]}

No. 5
{"formula": "NaMnSbI2", "functional": "PBE-GGA", "state": "relaxed", "crystal_system": "tetragonal", "e_form_raw_ev_per_atom": -0.159, "energy_ev_per_cell": -18.5, "m_tot_mub_per_cell": 3.00, "rho_g_cm3": 4.20, "lattice": [[-1.926, 0.721, -5.553], [-1.461, -5.734, -0.238], [-4.672, 1.118, 1.766]], "species": ["Sb", "I", "I", "Na", "Mn"], "frac_coords": [[0.000, 0.000, 0.500], [0.000, 0.500, 0.000], [0.500, 0.000, 0.000], [0.500, 0.500, 0.500], [0.000, 0.000, 0.000]]}

No. 6
{"formula": "NaMnSbI2", "functional": "PBE-GGA", "state": "relaxed", "crystal_system": "tetragonal", "e_form_raw_ev_per_atom": 0.551, "energy_ev_per_cell": -15.0, "m_tot_mub_per_cell": 3.07, "rho_g_cm3": 3.74, "lattice": [[-5.354, 2.113, -0.496], [-1.974, -4.195, 3.446], [0.941, 3.516, 4.821]], "species": ["I", "I", "Na", "Mn", "Sb"], "frac_coords": [[0.500, 0.000, 0.000], [0.000, 0.500, 0.000], [0.000, 0.000, 0.000], [0.500, 0.500, 0.500], [0.000, 0.000, 0.500]]}

No. 7
{"formula": "NaMnSn2I8", "functional": "PBE-GGA", "state": "relaxed", "crystal_system": "monoclinic", "e_form_raw_ev_per_atom": -0.522, "energy_ev_per_cell": -37.2, "m_tot_mub_per_cell": 4.04, "rho_g_cm3": 4.60, "lattice": [[-0.769, 5.205, 5.320], [2.116, -4.451, 5.098], [8.591, 2.597, -1.299]], "species": ["Na", "Sn", "Sn", "I", "I", "I", "I", "I", "I", "I", "I", "Mn"], "frac_coords": [[0.000, 0.000, 0.500], [0.500, 0.500, 0.241], [0.500, 0.500, 0.759], [0.685, 0.760, 0.000], [0.845, 0.225, 0.223], [0.659, 0.727, 0.500], [0.315, 0.240, 0.000], [0.155, 0.775, 0.777], [0.155, 0.775, 0.223], [0.341, 0.273, 0.500], [0.845, 0.225, 0.777], [0.000, 0.000, 0.000]]}

No. 8
{"formula": "Na2MnSnI6", "functional": "PBE-GGA", "state": "relaxed", "crystal_system": "trigonal", "e_form_raw_ev_per_atom": -0.748, "energy_ev_per_cell": -32.6, "m_tot_mub_per_cell": 5.00, "rho_g_cm3": 4.27, "lattice": [[7.897, 0.000, 0.001], [3.949, 6.838, 0.000], [3.949, 2.280, 7.058]], "species": ["I", "I", "I", "I", "I", "I", "Na", "Na", "Sn", "Mn"], "frac_coords": [[0.222, 0.957, 0.247], [0.957, 0.573, 0.247], [0.104, 0.429, 0.770], [0.429, 0.697, 0.769], [0.697, 0.104, 0.770], [0.574, 0.222, 0.247], [0.013, 0.013, 0.960], [0.519, 0.519, 0.442], [0.822, 0.822, 0.534], [0.324, 0.324, 0.029]]}